1.
A relaxed Be3CoW crystal, computed with PBE.

Formation energy from the elements (meV per atom): 594
Calculated density (Mg/m³): 8.275
Offset from the most stable computed form (meV/atom): 0.0

abc: 3.783 3.783 3.783
angles: 90.00 90.00 90.00
Space group Pm-3m (No. 221)
Asymmetric unit:
Be (0.000, 0.000, 0.500) (multiplicity 3)
Co (0.000, 0.000, 0.000) (multiplicity 1)
W (0.500, 0.500, 0.500) (multiplicity 1)

2.
A relaxed Pm5Pr2Er5 crystal, computed with PBE.

Formation energy from the elements (meV per atom): 18
Calculated density (Mg/m³): 7.728

abc: 15.283 5.077 11.416
angles: 90.00 116.60 90.00
Space group C2/m (No. 12)
Asymmetric unit:
Pm (0.000, 0.000, 0.000) (multiplicity 2)
Pm (0.166, 0.000, 0.499) (multiplicity 4)
Pm (0.248, 0.000, 0.248) (multiplicity 4)
Pr (0.083, 0.000, 0.751) (multiplicity 4)
Er (0.000, 0.500, 0.500) (multiplicity 2)
Er (0.083, 0.500, 0.249) (multiplicity 4)
Er (0.167, 0.500, 0.001) (multiplicity 4)

3.
A relaxed InOs2Cl crystal, computed with PBE.

Uncorrected formation energy (meV/atom): 384
Calculated density (Mg/m³): 11.585
Offset from the most stable computed form (meV/atom): 118.5

abc: 2.897 2.897 9.061
angles: 90.00 90.00 90.00
Space group P4mm (No. 99)
Asymmetric unit:
In (0.000, 0.000, 0.000) (multiplicity 1)
Os (0.000, 0.000, 0.425) (multiplicity 1)
Os (0.500, 0.500, 0.248) (multiplicity 1)
Cl (0.500, 0.500, 0.622) (multiplicity 1)

4.
A relaxed Ac2Mg6Ag3 crystal, computed with PBE.

Formation energy from the elements (meV per atom): -147
Calculated density (Mg/m³): 5.294

abc: 8.6161 8.6161 4.5053
angles: 90.00 90.00 120.00
Space group P-62m (No. 189)
Asymmetric unit:
Ac (0.3333, 0.6667, 0.0000) (multiplicity 2)
Mg (0.0000, 0.2005, 0.0000) (multiplicity 3)
Mg (0.0000, 0.7162, 0.5000) (multiplicity 3)
Ag (0.0000, 0.3882, 0.5000) (multiplicity 3)

5.
A relaxed Pa3AlSe2O6 crystal, computed with PBE.

Uncorrected formation energy (meV/atom): -2591
Calculated density (Mg/m³): 5.960

abc: 12.689 7.611 5.957
angles: 90.00 109.37 90.00
Space group C2/m (No. 12)
Asymmetric unit:
Pa (0.000, 0.000, 0.000) (multiplicity 2)
Pa (0.250, 0.250, 0.500) (multiplicity 4)
Al (0.000, 0.500, 0.500) (multiplicity 2)
Se (0.182, 0.000, 0.796) (multiplicity 4)
O (0.096, 0.197, 0.235) (multiplicity 8)
O (0.180, 0.500, 0.563) (multiplicity 4)

6.
A relaxed Mn2SiPIr crystal, computed with PBE.

Uncorrected formation energy (meV/atom): 1360
Calculated density (Mg/m³): 6.412

abc: 4.574 4.574 4.470
angles: 90.00 90.00 90.00
Space group P4/mmm (No. 123)
Asymmetric unit:
Mn (0.000, 0.500, 0.000) (multiplicity 2)
Si (0.000, 0.000, 0.500) (multiplicity 1)
P (0.500, 0.500, 0.500) (multiplicity 1)
Ir (0.000, 0.000, 0.000) (multiplicity 1)

7.
A relaxed Li2Pb5 crystal, computed with PBE.

Formation energy from the elements (meV per atom): -98
Calculated density (Mg/m³): 9.261

abc: 15.481 6.071 8.132
angles: 90.00 99.88 90.00
Space group C2/c (No. 15)
Asymmetric unit:
Li (0.097, 0.160, 0.086) (multiplicity 8)
Pb (0.000, 0.176, 0.750) (multiplicity 4)
Pb (0.099, 0.358, 0.437) (multiplicity 8)
Pb (0.225, 0.122, 0.816) (multiplicity 8)

8.
A relaxed Rb2Pb2Cl crystal, computed with PBE.

Uncorrected formation energy (meV/atom): -710
Calculated density (Mg/m³): 5.062
Offset from the most stable computed form (meV/atom): 0.0

abc: 4.424 4.424 20.807
angles: 90.00 90.00 90.00
Space group I4/mmm (No. 139)
Asymmetric unit:
Rb (0.000, 0.000, 0.090) (multiplicity 4)
Pb (0.000, 0.500, 0.250) (multiplicity 4)
Cl (0.000, 0.000, 0.500) (multiplicity 2)